Here is a geometry-optimized BaCrB2Se8 structure from Alexandria. Energies are from GGA-PBE.

Unit cell a=6.119 b=6.119 c=8.201 alpha=90.00 beta=90.00 gamma=120.00
Each line ends with the local moment (μB).
Fractional positions:
Ba 0.000 0.000 0.000  -0.02
Cr 0.000 0.000 0.500  2.22
B 0.667 0.333 0.281  0.02
B 0.333 0.667 0.719  0.02
Se 0.333 0.667 0.969  0.06
Se 0.357 0.356 0.356  -0.11
Se 0.644 0.001 0.356  -0.11
Se 0.667 0.333 0.031  0.06
Se 0.356 0.999 0.644  -0.11
Se 0.643 0.644 0.644  -0.11
Se 0.001 0.357 0.644  -0.11
Se 0.999 0.643 0.356  -0.11

---

Here is a geometry-optimized BaCrBSe4 structure from Alexandria. Energies are from GGA-PBE.

Unit cell a=6.225 b=6.778 c=8.449 alpha=90.00 beta=107.83 gamma=90.00
Each line ends with the local moment (μB).
Fractional positions:
Ba 0.744 0.750 0.934  0.00
Ba 0.256 0.250 0.066  0.00
Cr 0.760 0.750 0.422  3.15
Cr 0.240 0.250 0.578  3.15
B 0.213 0.750 0.327  0.03
B 0.787 0.250 0.673  0.03
Se 0.004 0.488 0.701  -0.08
Se 0.996 0.988 0.299  -0.08
Se 0.996 0.512 0.299  -0.08
Se 0.004 0.012 0.701  -0.08
Se 0.404 0.750 0.162  -0.05
Se 0.596 0.250 0.838  -0.05
Se 0.460 0.750 0.551  -0.15
Se 0.540 0.250 0.449  -0.15

---

E_tot in eV per formula unit, matching the order above: -57.0; -36.9
Formation energy from raw total energies in meV/atom, matching the order above: -354; -677